(1)
The following is a PBE calculation of crystalline LiYTe2 at its relaxed geometry, from the Alexandria database.

Cell and atoms, written as POSCAR:
```
LiYTe2
1.0
0.000 3.765 3.765
3.765 0.000 3.765
3.765 3.765 0.000
Li Y Te
1 1 2
Direct
0.000 0.000 0.000
0.750 0.750 0.750
0.250 0.250 0.250
0.500 0.500 0.500
```

SG = F-43m (216)
formation energy without anion corrections = -465.7 meV per atom

---

(2)
The following is a PBE calculation of crystalline Nd3Ho7Tm2 at its relaxed geometry, from the Alexandria database.

Cell and atoms, written as POSCAR:
```
Nd3Ho7Tm2
1.0
3.235 1.868 11.306
-3.235 1.868 11.306
0.000 -3.735 11.306
Nd Ho Tm
3 7 2
Direct
0.000 0.000 0.000
0.156 0.156 0.156
0.844 0.844 0.844
0.083 0.584 0.584
0.416 0.416 0.917
0.416 0.917 0.416
0.500 0.500 0.500
0.584 0.083 0.584
0.584 0.584 0.083
0.917 0.416 0.416
0.333 0.333 0.333
0.667 0.667 0.667
```

SG = R-3m (166)
energy above the lowest structure with this stoichiometry = 2.41 eV per formula unit
energy of formation from the pure elements = 0.290 eV per atom

---

(3)
The following is a PBE calculation of crystalline KAl2Sb2 at its relaxed geometry, from the Alexandria database.

Cell and atoms, written as POSCAR:
```
KAl2Sb2
1.0
8.502 0.000 0.000
0.000 8.502 0.000
0.000 0.000 3.854
K Al Sb
2 4 4
Direct
0.000 0.000 0.000
0.500 0.500 0.000
0.127 0.373 0.500
0.373 0.873 0.500
0.627 0.127 0.500
0.873 0.627 0.500
0.138 0.638 0.000
0.362 0.138 0.000
0.638 0.862 0.000
0.862 0.362 0.000
```

SG = P4/mbm (127)
formation energy without anion corrections = 61.4 meV per atom

---

no.,total moment (μB/atom)
1,0.000
2,0.000
3,0.000